[1]
Entry from the Alexandria database: a relaxed structure of TbSm2HoTl2 (PBE-GGA).

Lattice parameters (Å, degrees): 5.148 10.118 6.848 90.00 90.00 90.00
Space group Pmc2_1 (No. 26)
Asymmetric unit:
Tb  0.000  0.041  0.000
Sm  0.000  0.314  0.366
Sm  0.500  0.458  0.091
Ho  0.500  0.185  0.719
Tl  0.000  0.358  0.836
Tl  0.500  0.129  0.256

Calculated values
Formation energy from the elements   -1.62 eV/f.u.

[2]
Entry from the Alexandria database: a relaxed structure of Tb3Sm6Ho2Tl (PBE-GGA).

Lattice parameters (Å, degrees): 6.171 10.719 11.746 90.00 100.25 90.00
Space group C2/m (No. 12)
Asymmetric unit:
Tb  0.000  0.000  0.000
Tb  0.000  0.332  0.000
Sm  0.246  0.336  0.747
Sm  0.246  0.500  0.251
Ho  0.000  0.166  0.500
Tl  0.000  0.500  0.500

Calculated values
Formation energy from the elements   -0.14 eV/f.u.

[3]
Entry from the Alexandria database: a relaxed structure of Tb3Sm2Ho6Tm (PBE-GGA).

Lattice parameters (Å, degrees): 6.144 10.632 11.745 90.00 99.98 90.00
Space group C2/m (No. 12)
Asymmetric unit:
Tb  0.000  0.000  0.000
Tb  0.000  0.333  0.000
Sm  0.000  0.166  0.500
Ho  0.249  0.500  0.249
Ho  0.250  0.166  0.249
Tm  0.000  0.500  0.500

Calculated values
Formation energy from the elements   0.20 eV/f.u.

[4]
Entry from the Alexandria database: a relaxed structure of Tb2Sm2HoTm4 (PBE-GGA).

Lattice parameters (Å, degrees): 18.528 3.568 9.486 90.00 115.77 90.00
Space group C2/m (No. 12)
Asymmetric unit:
Tb  0.147  0.000  0.163
Sm  0.166  0.500  0.501
Ho  0.000  0.000  0.500
Tm  0.019  0.500  0.834
Tm  0.185  0.000  0.836

Calculated values
Formation energy from the elements   -0.02 eV/f.u.

[5]
Entry from the Alexandria database: a relaxed structure of Tb4Sm2Ho2Tm (PBE-GGA).

Lattice parameters (Å, degrees): 18.640 3.589 9.550 90.00 115.70 90.00
Space group C2/m (No. 12)
Asymmetric unit:
Tb  0.018  0.000  0.330
Tb  0.185  0.500  0.332
Sm  0.148  0.500  0.667
Ho  0.166  0.000  0.001
Tm  0.000  0.500  0.000

Calculated values
Formation energy from the elements   0.09 eV/f.u.

[6]
Entry from the Alexandria database: a relaxed structure of TbSmHoTm3 (PBE-GGA).

Lattice parameters (Å, degrees): 4.989 14.974 9.980 90.00 90.00 90.00
Space group Cmcm (No. 63)
Asymmetric unit:
Tb  0.000  0.000  0.000
Sm  0.000  0.500  0.250
Ho  0.000  0.168  0.250
Tm  0.000  0.168  0.750
Tm  0.000  0.332  0.000

Calculated values
Formation energy from the elements   0.14 eV/f.u.

[7]
Entry from the Alexandria database: a relaxed structure of Tb3SmHoTm (PBE-GGA).

Lattice parameters (Å, degrees): 5.017 15.072 10.061 90.00 90.00 90.00
Space group Cmcm (No. 63)
Asymmetric unit:
Tb  0.000  0.167  0.000
Tb  0.000  0.332  0.250
Sm  0.000  0.000  0.250
Ho  0.000  0.500  0.000
Tm  0.000  0.333  0.750

Calculated values
Formation energy from the elements   0.11 eV/f.u.

[8]
Entry from the Alexandria database: a relaxed structure of Tb6Sm2HoTm3 (PBE-GGA).

Lattice parameters (Å, degrees): 6.151 10.644 11.757 90.00 99.99 90.00
Space group C2/m (No. 12)
Asymmetric unit:
Tb  0.248  0.000  0.247
Tb  0.249  0.334  0.247
Sm  0.000  0.333  0.500
Ho  0.000  0.000  0.500
Tm  0.000  0.166  0.000
Tm  0.000  0.500  0.000

Calculated values
Formation energy from the elements   0.21 eV/f.u.

[9]
Entry from the Alexandria database: a relaxed structure of TbSm2Ho4Tm2 (PBE-GGA).

Lattice parameters (Å, degrees): 18.552 3.578 9.495 90.00 115.76 90.00
Space group C2/m (No. 12)
Asymmetric unit:
Tb  0.000  0.000  0.000
Sm  0.148  0.000  0.666
Ho  0.019  0.500  0.331
Ho  0.185  0.000  0.333
Tm  0.167  0.500  0.002

Calculated values
Formation energy from the elements   0.07 eV/f.u.

[10]
Entry from the Alexandria database: a relaxed structure of TbSmHo3Tm (PBE-GGA).

Lattice parameters (Å, degrees): 5.005 10.018 7.914 90.00 108.36 90.00
Space group P2_1/m (No. 11)
Asymmetric unit:
Tb  0.000  0.000  0.000
Sm  0.500  0.250  0.000
Ho  0.168  0.250  0.336
Ho  0.333  0.000  0.665
Tm  0.167  0.750  0.335

Calculated values
Formation energy from the elements   0.12 eV/f.u.

[11]
Entry from the Alexandria database: a relaxed structure of Tb2SmHoTm4 (PBE-GGA).

Lattice parameters (Å, degrees): 4.991 4.991 9.951 90.00 90.00 90.00
Space group P4/mmm (No. 123)
Asymmetric unit:
Tb  0.000  0.000  0.000
Tb  0.500  0.500  0.500
Sm  0.000  0.000  0.500
Ho  0.500  0.500  0.000
Tm  0.000  0.500  0.249

Calculated values
Formation energy from the elements   0.18 eV/f.u.

[12]
Entry from the Alexandria database: a relaxed structure of TbSmHo2Tm2 (PBE-GGA).

Lattice parameters (Å, degrees): 6.527 17.589 3.375 90.00 90.00 90.00
Space group Pnnm (No. 58)
Asymmetric unit:
Tb  0.000  0.000  0.000
Sm  0.000  0.500  0.000
Ho  0.230  0.184  0.000
Tm  0.229  0.351  0.500

Calculated values
Formation energy from the elements   1.71 eV/f.u.